Computed, not measured: a relaxed Tb2Pr4DyTm2 crystal at the PBE level of DFT.

Properties
Energy relative to the elements: 24.6 meV per atom
ρ: 7.65 g/cm³
Total DFT energy (no corrections): -4.634 eV/atom
DOS(E_F): 1.550 states/eV/atom
Symmetry: C2/m, No. 12

Geometry as POSCAR:
```
Tb2Pr4DyTm2
1.0
-4.4315 1.1015 -2.2914
-1.6056 -3.3944 7.1691
1.2918 7.8489 1.2747
Tb Pr Dy Tm
2 4 1 2
direct
0.8884 0.7768 0.3294
0.1116 0.2232 0.6706
0.7772 0.5544 0.6698
0.2228 0.4456 0.3302
0.5537 0.1073 0.3297
0.4463 0.8927 0.6703
0.0000 0.0000 0.0000
0.3323 0.6647 0.0005
0.6677 0.3353 0.9995
```